No. 1
LaBeIrN | Alexandria via LeMat-Bulk | GGA-PBE | relaxed; crystal system = tetragonal; total magnetic moment = 0.0 μB/cell; energy relative to the elements, uncorrected = -1.001 eV per atom
1.0
-1.7269 -2.5179 -2.2980
-0.5233 -2.3498 2.9678
-7.2798 3.5784 1.5497
Be N Ir La
2 2 2 2
Direct
0.5000 0.0000 0.6677
0.0000 0.5000 0.3323
0.5000 0.0000 0.8642
0.0000 0.5000 0.1358
0.0000 0.0000 0.5000
0.5000 0.5000 0.5000
0.0000 0.5000 0.8378
0.5000 0.0000 0.1622

***

No. 2
LaBeIr2N | Alexandria via LeMat-Bulk | GGA-PBE | relaxed; crystal system = tetragonal; total magnetic moment = 1.0 μB/cell; energy relative to the elements, uncorrected = 0.400 eV per atom
1.0
4.2409 0.0000 0.0000
0.0000 4.4306 0.0000
0.0000 0.0000 4.2409
N Ir La Be
1 2 1 1
Direct
0.0000 0.5000 0.0000
0.0000 0.0000 0.5000
0.5000 0.0000 0.0000
0.5000 0.5000 0.5000
0.0000 0.0000 0.0000

***

No. 3
LaBe2IrO8 | Alexandria via LeMat-Bulk | GGA-PBE | relaxed; crystal system = trigonal; total magnetic moment = 1.4 μB/cell; energy relative to the elements, uncorrected = -1.507 eV per atom
1.0
5.1272 0.0000 0.0000
-2.5636 4.4403 0.0000
0.0000 0.0000 6.5837
O Ir Be La
8 1 2 1
Direct
0.3309 0.1655 0.1775
0.3333 0.6667 0.4973
0.6691 0.8345 0.8225
0.8345 0.6691 0.1775
0.8345 0.1655 0.1775
0.1655 0.3309 0.8225
0.6667 0.3333 0.5027
0.1655 0.8345 0.8225
0.0000 0.0000 0.0000
0.6667 0.3333 0.2589
0.3333 0.6667 0.7411
0.0000 0.0000 0.5000

***

No. 4
LaBePIr2 | Alexandria via LeMat-Bulk | GGA-PBE | relaxed; crystal system = tetragonal; total magnetic moment = 0.6 μB/cell
1.0
-2.9822 -2.9660 -0.0627
0.6100 -0.7222 5.1476
-2.9258 2.9258 0.7572
Ir La Be P
2 1 1 1
Direct
0.0000 0.0000 0.5000
0.5000 0.0000 0.0000
0.0000 0.5000 0.0000
0.0000 0.0000 0.0000
0.5000 0.5000 0.5000

***

No. 5
La2BeP3Ir4 | Alexandria via LeMat-Bulk | GGA-PBE | relaxed; crystal system = tetragonal; total magnetic moment = 0.0 μB/cell
1.0
-1.6147 2.8538 -2.5202
-3.3144 -2.4008 -0.5950
-4.4486 4.2440 7.6563
Ir La P Be
4 2 3 1
Direct
0.5000 0.0000 0.6179
0.0000 0.0000 0.0000
0.0000 0.5000 0.3821
0.5000 0.5000 0.0000
0.5000 0.0000 0.2599
0.0000 0.5000 0.7401
0.5000 0.0000 0.8609
0.0000 0.0000 0.5000
0.0000 0.5000 0.1391
0.5000 0.5000 0.5000

***

No. 6
LaBeIrPd2 | Alexandria via LeMat-Bulk | GGA-PBE | relaxed; crystal system = tetragonal; total magnetic moment = 0.0 μB/cell
1.0
4.4008 0.0000 0.0000
0.0000 4.4008 0.0000
0.0000 0.0000 4.4234
Ir Pd La Be
1 2 1 1
Direct
0.0000 0.0000 0.5000
0.5000 0.0000 0.0000
0.0000 0.5000 0.0000
0.5000 0.5000 0.5000
0.0000 0.0000 0.0000

***

No. 7
LaBe4Ir2Pt | Alexandria via LeMat-Bulk | GGA-PBE | relaxed; crystal system = trigonal; total magnetic moment = 0.0 μB/cell
1.0
3.9534 0.0000 0.0000
1.9767 3.4237 0.0000
1.9767 1.1412 8.4553
Ir Be Pt La
2 4 1 1
Direct
0.2376 0.2376 0.2871
0.7624 0.7624 0.7129
0.4125 0.4125 0.7625
0.8701 0.8701 0.3898
0.5875 0.5875 0.2375
0.1299 0.1299 0.6102
0.5000 0.5000 0.5000
0.0000 0.0000 0.0000

***

No. 8
La2BeIrPt | Alexandria via LeMat-Bulk | GGA-PBE | relaxed; crystal system = tetragonal; total magnetic moment = 0.0 μB/cell
1.0
5.5262 0.0000 0.0000
0.0000 4.2132 0.0000
0.0000 0.0000 5.5262
Be La Pt Ir
1 2 1 1
Direct
0.0000 0.5000 0.0000
0.0000 0.0000 0.5000
0.5000 0.0000 0.0000
0.0000 0.0000 0.0000
0.5000 0.5000 0.5000

***

No. 9
RbLaBeIr2 | Alexandria via LeMat-Bulk | GGA-PBE | relaxed; crystal system = tetragonal; total magnetic moment = 0.0 μB/cell
1.0
-2.5305 -2.3917 -2.8842
1.1879 -4.1208 2.3750
-3.5831 0.5270 2.7066
Rb La Ir Be
1 1 2 1
Direct
0.0000 0.5000 0.0000
0.5000 0.5000 0.5000
0.0000 0.0000 0.5000
0.5000 0.0000 0.0000
0.0000 0.0000 0.0000

***

No. 10
LaBeIr2Rh | Alexandria via LeMat-Bulk | GGA-PBE | relaxed; crystal system = tetragonal; total magnetic moment = 0.0 μB/cell
1.0
4.3451 0.0000 0.0000
0.0000 4.3451 0.0000
0.0000 0.0000 4.3628
Rh La Ir Be
1 1 2 1
Direct
0.0000 0.0000 0.5000
0.5000 0.5000 0.5000
0.5000 0.0000 0.0000
0.0000 0.5000 0.0000
0.0000 0.0000 0.0000

***

No. 11
LaBeZnIrS | Alexandria via LeMat-Bulk | GGA-PBE | relaxed; crystal system = orthorhombic; total magnetic moment = 0.0 μB/cell; polymorph energy (0 for the lowest one) = 0.000 eV/f.u.; energy relative to the elements, uncorrected = -0.782 eV per atom
1.0
4.3784 0.0000 0.0000
0.0000 3.8691 0.0000
0.0000 0.0000 11.1690
Ir S La Be Zn
2 2 2 2 2
Direct
0.5000 0.5000 0.9891
0.0000 0.0000 0.4891
0.5000 0.5000 0.1966
0.0000 0.0000 0.6966
0.5000 0.5000 0.6556
0.0000 0.0000 0.1556
0.0000 0.5000 0.4016
0.5000 0.0000 0.9016
0.5000 0.0000 0.3895
0.0000 0.5000 0.8895

***

No. 12
LaBeZnIrS | Alexandria via LeMat-Bulk | GGA-PBE | relaxed; crystal system = monoclinic; total magnetic moment = 0.0 μB/cell; polymorph energy (0 for the lowest one) = 0.211 eV/f.u.; energy relative to the elements, uncorrected = -0.739 eV per atom
1.0
3.9553 0.0002 0.0216
0.0002 4.1198 -0.0140
1.9450 0.4963 5.7935
Be La Ir S Zn
1 1 1 1 1
Direct
0.8506 0.3313 0.6563
0.4677 0.8692 0.4218
0.7750 0.8177 0.8075
0.0333 0.3892 0.2908
0.2405 0.3036 0.8766

***

Number 1: DOS(E_F) 2.312 states/eV per cell, total DFT energy (no corrections) -0.5484 Ry per atom. Number 2: DOS(E_F) 4.081 states/eV per cell, total DFT energy (no corrections) -0.4807 Ry per atom. Number 3: DOS(E_F) 4.370 states/eV per cell, total DFT energy (no corrections) -0.4838 Ry per atom. Number 4: DOS(E_F) 4.718 states/eV per cell, total DFT energy (no corrections) -0.4571 Ry per atom. Number 5: DOS(E_F) 4.355 states/eV per cell, total DFT energy (no corrections) -0.5497 Ry per atom. Number 6: DOS(E_F) 0.967 states/eV per cell, total DFT energy (no corrections) -0.4567 Ry per atom. Number 7: DOS(E_F) 3.763 states/eV per cell, total DFT energy (no corrections) -0.4390 Ry per atom. Number 8: DOS(E_F) 2.973 states/eV per cell, total DFT energy (no corrections) -0.4330 Ry per atom. Number 9: DOS(E_F) 1.678 states/eV per cell, total DFT energy (no corrections) -0.3754 Ry per atom. Number 10: DOS(E_F) 3.224 states/eV per cell, total DFT energy (no corrections) -0.5265 Ry per atom. Number 11: DOS(E_F) 1.610 states/eV per cell, total DFT energy (no corrections) -0.3943 Ry per atom. Number 12: DOS(E_F) 1.761 states/eV per cell, total DFT energy (no corrections) -0.3912 Ry per atom.